*w*
! SrTaTc2 PBE relaxed; values from VASP
&SYSTEM
  ibrav = 0, nat = 4, ntyp = 3
/
ATOMIC_SPECIES
Sr 87.62 Sr.upf
Ta 180.95 Ta.upf
Tc 98.00 Tc.upf
CELL_PARAMETERS angstrom
4.809 0.000 0.000
0.000 4.809 0.000
0.000 0.000 3.212
ATOMIC_POSITIONS angstrom
Sr 0.000 0.000 0.000
Ta 2.405 2.405 0.000
Tc 0.000 2.405 1.606
Tc 2.405 0.000 1.606
! - DOS(E_F) (states/eV per atom) = 1.507
! - ρ (g/cm3) = 10.4


*x*
! SrTaTc2 PBE relaxed; values from VASP
&SYSTEM
  ibrav = 0, nat = 8, ntyp = 3
/
ATOMIC_SPECIES
Sr 87.62 Sr.upf
Ta 180.95 Ta.upf
Tc 98.00 Tc.upf
CELL_PARAMETERS angstrom
3.215 0.000 0.000
0.000 5.330 0.000
0.000 0.000 9.071
ATOMIC_POSITIONS angstrom
Sr 0.000 0.000 0.000
Sr 1.608 2.665 4.535
Ta 0.000 0.000 4.535
Ta 1.608 2.665 0.000
Tc 0.000 2.665 2.059
Tc 0.000 2.665 7.012
Tc 1.608 0.000 2.477
Tc 1.608 0.000 6.594
! - DOS(E_F) (states/eV per atom) = 1.030
! - ρ (g/cm3) = 9.9


*y*
! SrTaTc2 PBE relaxed; values from VASP
&SYSTEM
  ibrav = 0, nat = 4, ntyp = 3
/
ATOMIC_SPECIES
Sr 87.62 Sr.upf
Ta 180.95 Ta.upf
Tc 98.00 Tc.upf
CELL_PARAMETERS angstrom
3.277 0.000 0.000
0.000 3.277 0.000
0.000 0.000 7.509
ATOMIC_POSITIONS angstrom
Sr 0.000 0.000 0.000
Ta 0.000 0.000 3.755
Tc 1.639 1.639 2.354
Tc 1.639 1.639 5.156
! - DOS(E_F) (states/eV per atom) = 1.528
! - ρ (g/cm3) = 9.6


Relative energies with respect to the most stable structure, expressed in meV per atom: *w* 422; *x* 439; *y* 0.


*w*
! SrTaTc2 PBE relaxed; values from VASP
&SYSTEM
  ibrav = 0, nat = 16, ntyp = 3
/
ATOMIC_SPECIES
Sr 87.62 Sr.upf
Ta 180.95 Ta.upf
Tc 98.00 Tc.upf
CELL_PARAMETERS angstrom
4.930 0.000 0.000
0.000 4.930 0.000
0.000 0.000 17.580
ATOMIC_POSITIONS angstrom
Sr 0.000 1.232 6.592
Sr 0.000 3.697 10.987
Sr 2.465 1.232 2.197
Sr 2.465 3.697 15.382
Ta 0.000 1.232 15.382
Ta 0.000 3.697 2.197
Ta 2.465 1.232 10.987
Ta 2.465 3.697 6.592
Tc 0.000 0.000 0.000
Tc 0.000 2.465 0.000
Tc 1.232 1.232 13.185
Tc 1.232 3.697 4.395
Tc 2.465 0.000 8.790
Tc 2.465 2.465 8.790
Tc 3.697 1.232 13.185
Tc 3.697 3.697 4.395
! - DOS(E_F) (states/eV per atom) = 1.046
! - ρ (g/cm3) = 7.2


*x*
! SrTaTc2 PBE relaxed; values from VASP
&SYSTEM
  ibrav = 0, nat = 8, ntyp = 3
/
ATOMIC_SPECIES
Sr 87.62 Sr.upf
Ta 180.95 Ta.upf
Tc 98.00 Tc.upf
CELL_PARAMETERS angstrom
3.339 0.000 0.000
0.000 4.853 0.000
0.000 0.000 9.364
ATOMIC_POSITIONS angstrom
Sr 0.000 0.000 0.000
Sr 1.670 2.426 0.000
Ta 0.000 0.000 4.682
Ta 1.670 2.426 4.682
Tc 0.000 2.426 2.651
Tc 0.000 2.426 6.713
Tc 1.670 0.000 2.651
Tc 1.670 0.000 6.713
! - DOS(E_F) (states/eV per atom) = 0.946
! - ρ (g/cm3) = 10.2


*y*
! SrTaTc2 PBE relaxed; values from VASP
&SYSTEM
  ibrav = 0, nat = 4, ntyp = 3
/
ATOMIC_SPECIES
Sr 87.62 Sr.upf
Ta 180.95 Ta.upf
Tc 98.00 Tc.upf
CELL_PARAMETERS angstrom
3.013 0.000 0.000
0.000 4.211 0.000
-1.259 0.000 6.669
ATOMIC_POSITIONS angstrom
Sr 0.000 0.000 0.000
Ta 0.877 0.000 3.335
Tc -0.038 2.105 4.476
Tc 1.791 2.105 2.193
! - DOS(E_F) (states/eV per atom) = 1.191
! - ρ (g/cm3) = 9.1


Relative energies with respect to the most stable structure, expressed in meV per atom: *w* 527; *x* 25; *y* 0.


*w*
! SrTaTc2 PBE relaxed; values from VASP
&SYSTEM
  ibrav = 0, nat = 8, ntyp = 3
/
ATOMIC_SPECIES
Sr 87.62 Sr.upf
Ta 180.95 Ta.upf
Tc 98.00 Tc.upf
CELL_PARAMETERS angstrom
8.237 0.000 0.000
0.000 3.164 0.000
-0.919 0.000 6.589
ATOMIC_POSITIONS angstrom
Sr 0.000 0.000 0.000
Sr 4.118 1.582 0.000
Ta -0.460 1.582 3.294
Ta 3.659 0.000 3.294
Tc 1.296 0.000 4.424
Tc 1.903 1.582 2.164
Tc 5.414 1.582 4.424
Tc 6.022 0.000 2.164
! - DOS(E_F) (states/eV per atom) = 0.880
! - ρ (g/cm3) = 9.0


*x*
! SrTaTc2 PBE relaxed; values from VASP
&SYSTEM
  ibrav = 0, nat = 8, ntyp = 3
/
ATOMIC_SPECIES
Sr 87.62 Sr.upf
Ta 180.95 Ta.upf
Tc 98.00 Tc.upf
CELL_PARAMETERS angstrom
3.133 0.000 0.000
0.000 5.003 0.000
0.000 0.000 9.822
ATOMIC_POSITIONS angstrom
Sr 0.000 0.000 0.000
Sr 1.567 2.502 4.911
Ta 0.000 2.502 7.702
Ta 1.567 0.000 2.791
Tc 0.000 0.000 5.010
Tc 0.000 2.502 2.231
Tc 1.567 0.000 7.142
Tc 1.567 2.502 0.099
! - DOS(E_F) (states/eV per atom) = 1.012
! - ρ (g/cm3) = 10.0


Relative energies with respect to the most stable structure, expressed in meV per atom: *w* 0; *x* 143.


*w*
! Sr3TaTc PBE relaxed; values from VASP
&SYSTEM
  ibrav = 0, nat = 5, ntyp = 3
/
ATOMIC_SPECIES
Sr 87.62 Sr.upf
Ta 180.95 Ta.upf
Tc 98.00 Tc.upf
CELL_PARAMETERS angstrom
5.878 0.000 0.000
0.000 5.878 0.000
0.000 0.000 5.878
ATOMIC_POSITIONS angstrom
Sr 0.000 0.000 2.939
Sr 0.000 2.939 0.000
Sr 2.939 0.000 0.000
Ta 0.000 0.000 0.000
Tc 2.939 2.939 2.939
! - DOS(E_F) (states/eV per atom) = 0.995
! - ρ (g/cm3) = 4.4


*x*
! Sr3TaTc PBE relaxed; values from VASP
&SYSTEM
  ibrav = 0, nat = 5, ntyp = 3
/
ATOMIC_SPECIES
Sr 87.62 Sr.upf
Ta 180.95 Ta.upf
Tc 98.00 Tc.upf
CELL_PARAMETERS angstrom
5.560 0.000 0.000
0.000 5.560 0.000
0.000 0.000 5.560
ATOMIC_POSITIONS angstrom
Sr 0.000 0.000 2.780
Sr 0.000 2.780 0.000
Sr 2.780 0.000 0.000
Ta 2.780 2.780 2.780
Tc 0.000 0.000 0.000
! - DOS(E_F) (states/eV per atom) = 2.229
! - ρ (g/cm3) = 5.2


Relative energies with respect to the most stable structure, expressed in meV per atom: *w* 215; *x* 0.


*w*
! Sr3TaTe PBE relaxed; values from VASP
&SYSTEM
  ibrav = 0, nat = 5, ntyp = 3
/
ATOMIC_SPECIES
Sr 87.62 Sr.upf
Ta 180.95 Ta.upf
Te 127.60 Te.upf
CELL_PARAMETERS angstrom
5.796 0.000 0.000
0.000 5.796 0.000
0.000 0.000 5.796
ATOMIC_POSITIONS angstrom
Sr 0.000 0.000 2.898
Sr 0.000 2.898 0.000
Sr 2.898 0.000 0.000
Ta 0.000 0.000 0.000
Te 2.898 2.898 2.898
! - DOS(E_F) (states/eV per atom) = 1.211
! - ρ (g/cm3) = 4.9


*x*
! Sr3TaTe PBE relaxed; values from VASP
&SYSTEM
  ibrav = 0, nat = 5, ntyp = 3
/
ATOMIC_SPECIES
Sr 87.62 Sr.upf
Ta 180.95 Ta.upf
Te 127.60 Te.upf
CELL_PARAMETERS angstrom
6.147 0.000 0.000
0.000 6.147 0.000
0.000 0.000 6.147
ATOMIC_POSITIONS angstrom
Sr 0.000 0.000 3.074
Sr 0.000 3.074 0.000
Sr 3.074 0.000 0.000
Ta 3.074 3.074 3.074
Te 0.000 0.000 0.000
! - DOS(E_F) (states/eV per atom) = 0.691
! - ρ (g/cm3) = 4.1


Relative energies with respect to the most stable structure, expressed in meV per atom: *w* 104; *x* 0.


*w*
! SrTa3Te PBE relaxed; values from VASP
&SYSTEM
  ibrav = 0, nat = 5, ntyp = 3
/
ATOMIC_SPECIES
Sr 87.62 Sr.upf
Ta 180.95 Ta.upf
Te 127.60 Te.upf
CELL_PARAMETERS angstrom
5.149 0.000 0.000
0.000 5.149 0.000
0.000 0.000 5.149
ATOMIC_POSITIONS angstrom
Sr 0.000 0.000 0.000
Ta 0.000 2.574 2.574
Ta 2.574 0.000 2.574
Ta 2.574 2.574 0.000
Te 2.574 2.574 2.574
! - DOS(E_F) (states/eV per atom) = 1.804
! - ρ (g/cm3) = 9.2


*x*
! SrTa3Te PBE relaxed; values from VASP
&SYSTEM
  ibrav = 0, nat = 5, ntyp = 3
/
ATOMIC_SPECIES
Sr 87.62 Sr.upf
Ta 180.95 Ta.upf
Te 127.60 Te.upf
CELL_PARAMETERS angstrom
4.990 0.000 0.000
0.000 4.990 0.000
0.000 0.000 4.990
ATOMIC_POSITIONS angstrom
Sr 0.000 0.000 0.000
Ta 0.000 0.000 2.495
Ta 0.000 2.495 0.000
Ta 2.495 0.000 0.000
Te 2.495 2.495 2.495
! - DOS(E_F) (states/eV per atom) = 1.296
! - ρ (g/cm3) = 10.1


Relative energies with respect to the most stable structure, expressed in meV per atom: *w* 0; *x* 1352.


*w*
! SrTaTe3 PBE relaxed; values from VASP
&SYSTEM
  ibrav = 0, nat = 5, ntyp = 3
/
ATOMIC_SPECIES
Sr 87.62 Sr.upf
Ta 180.95 Ta.upf
Te 127.60 Te.upf
CELL_PARAMETERS angstrom
5.883 0.000 0.000
0.000 5.883 0.000
0.000 0.000 5.883
ATOMIC_POSITIONS angstrom
Sr 0.000 0.000 0.000
Ta 2.942 2.942 2.942
Te 0.000 0.000 2.942
Te 0.000 2.942 0.000
Te 2.942 0.000 0.000
! - DOS(E_F) (states/eV per atom) = 3.270
! - ρ (g/cm3) = 5.3


*x*
! SrTaTe3 PBE relaxed; values from VASP
&SYSTEM
  ibrav = 0, nat = 5, ntyp = 3
/
ATOMIC_SPECIES
Sr 87.62 Sr.upf
Ta 180.95 Ta.upf
Te 127.60 Te.upf
CELL_PARAMETERS angstrom
5.501 0.000 0.000
0.000 5.501 0.000
0.000 0.000 5.501
ATOMIC_POSITIONS angstrom
Sr 0.000 0.000 0.000
Ta 2.750 2.750 2.750
Te 0.000 2.750 2.750
Te 2.750 0.000 2.750
Te 2.750 2.750 0.000
! - DOS(E_F) (states/eV per atom) = 0.393
! - ρ (g/cm3) = 6.5


Relative energies with respect to the most stable structure, expressed in meV per atom: *w* 1821; *x* 0.


*w*
! Sr3TaTi PBE relaxed; values from VASP
&SYSTEM
  ibrav = 0, nat = 5, ntyp = 3
/
ATOMIC_SPECIES
Sr 87.62 Sr.upf
Ta 180.95 Ta.upf
Ti 47.87 Ti.upf
CELL_PARAMETERS angstrom
5.987 0.000 0.000
0.000 5.987 0.000
0.000 0.000 5.987
ATOMIC_POSITIONS angstrom
Sr 0.000 0.000 2.993
Sr 0.000 2.993 0.000
Sr 2.993 0.000 0.000
Ta 0.000 0.000 0.000
Ti 2.993 2.993 2.993
! - DOS(E_F) (states/eV per atom) = 1.789
! - ρ (g/cm3) = 3.8


*x*
! Sr3TaTi PBE relaxed; values from VASP
&SYSTEM
  ibrav = 0, nat = 5, ntyp = 3
/
ATOMIC_SPECIES
Sr 87.62 Sr.upf
Ta 180.95 Ta.upf
Ti 47.87 Ti.upf
CELL_PARAMETERS angstrom
5.701 0.000 0.000
0.000 5.701 0.000
0.000 0.000 5.701
ATOMIC_POSITIONS angstrom
Sr 0.000 0.000 2.851
Sr 0.000 2.851 0.000
Sr 2.851 0.000 0.000
Ta 2.851 2.851 2.851
Ti 0.000 0.000 0.000
! - DOS(E_F) (states/eV per atom) = 2.141
! - ρ (g/cm3) = 4.4


Relative energies with respect to the most stable structure, expressed in meV per atom: *w* 0; *x* 283.


*w*
! SrTa2Tl PBE relaxed; values from VASP
&SYSTEM
  ibrav = 0, nat = 8, ntyp = 3
/
ATOMIC_SPECIES
Sr 87.62 Sr.upf
Ta 180.95 Ta.upf
Tl 204.38 Tl.upf
CELL_PARAMETERS angstrom
4.323 0.000 0.000
0.000 4.323 0.000
0.000 0.000 10.064
ATOMIC_POSITIONS angstrom
Sr 0.000 0.000 0.000
Sr 2.161 2.161 5.032
Ta 0.000 2.161 2.516
Ta 0.000 2.161 7.548
Ta 2.161 0.000 2.516
Ta 2.161 0.000 7.548
Tl 0.000 0.000 5.032
Tl 2.161 2.161 0.000
! - DOS(E_F) (states/eV per atom) = 1.200
! - ρ (g/cm3) = 11.5


*x*
! SrTa2Tl PBE relaxed; values from VASP
&SYSTEM
  ibrav = 0, nat = 8, ntyp = 3
/
ATOMIC_SPECIES
Sr 87.62 Sr.upf
Ta 180.95 Ta.upf
Tl 204.38 Tl.upf
CELL_PARAMETERS angstrom
9.369 0.000 0.000
0.000 3.066 0.000
-0.671 0.000 7.092
ATOMIC_POSITIONS angstrom
Sr 0.000 0.000 0.000
Sr 4.685 1.533 0.000
Ta 1.688 0.000 4.846
Ta 4.270 0.000 3.803
Ta 6.373 1.533 4.846
Ta 8.955 1.533 3.803
Tl 2.152 1.533 2.147
Tl 6.837 0.000 2.147
! - DOS(E_F) (states/eV per atom) = 1.044
! - ρ (g/cm3) = 10.7


*y*
! SrTa2Tl PBE relaxed; values from VASP
&SYSTEM
  ibrav = 0, nat = 4, ntyp = 3
/
ATOMIC_SPECIES
Sr 87.62 Sr.upf
Ta 180.95 Ta.upf
Tl 204.38 Tl.upf
CELL_PARAMETERS angstrom
3.554 0.000 0.000
0.000 3.590 0.000
0.000 0.000 7.898
ATOMIC_POSITIONS angstrom
Sr 0.000 0.000 0.000
Ta 0.000 0.000 4.328
Ta 1.777 1.795 5.439
Tl 1.777 1.795 2.388
! - DOS(E_F) (states/eV per atom) = 0.896
! - ρ (g/cm3) = 10.8


*z*
! SrTa2Tl PBE relaxed; values from VASP
&SYSTEM
  ibrav = 0, nat = 4, ntyp = 3
/
ATOMIC_SPECIES
Sr 87.62 Sr.upf
Ta 180.95 Ta.upf
Tl 204.38 Tl.upf
CELL_PARAMETERS angstrom
3.141 0.000 0.000
0.000 5.368 0.000
0.000 0.000 5.487
ATOMIC_POSITIONS angstrom
Sr 0.000 0.000 0.000
Ta 0.000 2.684 2.744
Ta 1.571 0.000 2.744
Tl 1.571 2.684 0.000
! - DOS(E_F) (states/eV per atom) = 0.972
! - ρ (g/cm3) = 11.7


Relative energies with respect to the most stable structure, expressed in meV per atom: *w* 535; *x* 275; *y* 0; *z* 480.


*w*
! SrTa3Tl PBE relaxed; values from VASP
&SYSTEM
  ibrav = 0, nat = 5, ntyp = 3
/
ATOMIC_SPECIES
Sr 87.62 Sr.upf
Ta 180.95 Ta.upf
Tl 204.38 Tl.upf
CELL_PARAMETERS angstrom
4.952 0.000 0.000
0.000 4.952 0.000
0.000 0.000 4.952
ATOMIC_POSITIONS angstrom
Sr 0.000 0.000 0.000
Ta 0.000 0.000 2.476
Ta 0.000 2.476 0.000
Ta 2.476 0.000 0.000
Tl 2.476 2.476 2.476
! - DOS(E_F) (states/eV per atom) = 1.098
! - ρ (g/cm3) = 11.4


*x*
! SrTa3Tl PBE relaxed; values from VASP
&SYSTEM
  ibrav = 0, nat = 5, ntyp = 3
/
ATOMIC_SPECIES
Sr 87.62 Sr.upf
Ta 180.95 Ta.upf
Tl 204.38 Tl.upf
CELL_PARAMETERS angstrom
5.247 0.000 0.000
0.000 5.247 0.000
0.000 0.000 5.247
ATOMIC_POSITIONS angstrom
Sr 0.000 0.000 0.000
Ta 0.000 2.623 2.623
Ta 2.623 0.000 2.623
Ta 2.623 2.623 0.000
Tl 2.623 2.623 2.623
! - DOS(E_F) (states/eV per atom) = 1.336
! - ρ (g/cm3) = 9.6


Relative energies with respect to the most stable structure, expressed in meV per atom: *w* 755; *x* 0.


*w*
! Sr2TaV PBE relaxed; values from VASP
&SYSTEM
  ibrav = 0, nat = 16, ntyp = 3
/
ATOMIC_SPECIES
Sr 87.62 Sr.upf
Ta 180.95 Ta.upf
V 50.94 V.upf
CELL_PARAMETERS angstrom
8.792 0.000 0.000
0.000 8.792 0.000
0.000 0.000 6.001
ATOMIC_POSITIONS angstrom
Sr 1.998 6.594 0.750
Sr 2.198 1.998 5.251
Sr 2.198 2.398 2.250
Sr 2.398 6.594 3.751
Sr 6.394 2.198 3.751
Sr 6.594 6.394 2.250
Sr 6.594 6.794 5.251
Sr 6.794 2.198 0.750
Ta 0.000 0.000 3.001
Ta 0.000 4.396 4.501
Ta 4.396 0.000 1.500
Ta 4.396 4.396 0.000
V 0.000 0.000 0.000
V 0.000 4.396 1.500
V 4.396 0.000 4.501
V 4.396 4.396 3.001
! - DOS(E_F) (states/eV per atom) = 1.692
! - ρ (g/cm3) = 5.8


*x*
! Sr2TaV PBE relaxed; values from VASP
&SYSTEM
  ibrav = 0, nat = 16, ntyp = 3
/
ATOMIC_SPECIES
Sr 87.62 Sr.upf
Ta 180.95 Ta.upf
V 50.94 V.upf
CELL_PARAMETERS angstrom
7.739 0.000 0.000
0.000 7.739 0.000
0.000 0.000 7.739
ATOMIC_POSITIONS angstrom
Sr 1.935 1.935 1.935
Sr 1.935 1.935 5.804
Sr 1.935 5.804 1.935
Sr 1.935 5.804 5.804
Sr 5.804 1.935 1.935
Sr 5.804 1.935 5.804
Sr 5.804 5.804 1.935
Sr 5.804 5.804 5.804
Ta 0.000 0.000 0.000
Ta 0.000 3.869 3.869
Ta 3.869 0.000 3.869
Ta 3.869 3.869 0.000
V 0.000 0.000 3.869
V 0.000 3.869 0.000
V 3.869 0.000 0.000
V 3.869 3.869 3.869
! - DOS(E_F) (states/eV per atom) = 1.956
! - ρ (g/cm3) = 5.8


Relative energies with respect to the most stable structure, expressed in meV per atom: *w* 149; *x* 0.


*w*
! SrTa3V PBE relaxed; values from VASP
&SYSTEM
  ibrav = 0, nat = 5, ntyp = 3
/
ATOMIC_SPECIES
Sr 87.62 Sr.upf
Ta 180.95 Ta.upf
V 50.94 V.upf
CELL_PARAMETERS angstrom
4.857 0.000 0.000
0.000 4.857 0.000
0.000 0.000 4.857
ATOMIC_POSITIONS angstrom
Sr 0.000 0.000 0.000
Ta 0.000 2.428 2.428
Ta 2.428 0.000 2.428
Ta 2.428 2.428 0.000
V 2.428 2.428 2.428
! - DOS(E_F) (states/eV per atom) = 1.576
! - ρ (g/cm3) = 9.9


*x*
! SrTa3V PBE relaxed; values from VASP
&SYSTEM
  ibrav = 0, nat = 5, ntyp = 3
/
ATOMIC_SPECIES
Sr 87.62 Sr.upf
Ta 180.95 Ta.upf
V 50.94 V.upf
CELL_PARAMETERS angstrom
4.859 0.000 0.000
0.000 4.859 0.000
0.000 0.000 4.859
ATOMIC_POSITIONS angstrom
Sr 0.000 0.000 0.000
Ta 0.000 0.000 2.429
Ta 0.000 2.429 0.000
Ta 2.429 0.000 0.000
V 2.429 2.429 2.429
! - DOS(E_F) (states/eV per atom) = 1.483
! - ρ (g/cm3) = 9.9


Relative energies with respect to the most stable structure, expressed in meV per atom: *w* 0; *x* 1913.